Entry 1:
VASP calculation (PBE-GGA) on a relaxed MgScCd crystal.

DFT total energy: -3.1080 eV/atom
Formation energy: -0.16 eV per atom

a b c (Å): 4.8908 4.8908 3.2393
angles (deg): 90.00 90.00 120.00
Last column: nearest neighbours and their distance in Å.
Space group P-6m2 (No. 187)
Symmetry-distinct sites (fractional):
1 Mg 0.0000 0.0000 0.0000 (multiplicity 1)  3 Cd 2.82
2 Sc 0.3333 0.6667 0.5000 (multiplicity 1)  2 Sc 3.24, 6 Mg 3.26, 6 Cd 3.26
3 Cd 0.6667 0.3333 0.0000 (multiplicity 1)  3 Mg 2.82

Entry 2:
VASP calculation (PBE-GGA) on a relaxed PuMnNiSn crystal.

DFT total energy: -8.4606 eV/atom
Formation energy: -0.14 eV per atom

a b c (Å): 6.5859 6.5859 6.5859
angles (deg): 90.00 90.00 90.00
Last column: nearest neighbours and their distance in Å.
Space group F-43m (No. 216)
Symmetry-distinct sites (fractional):
1 Pu 0.0000 0.0000 0.0000 (multiplicity 4)  4 Mn 2.85, 4 Ni 2.85
2 Mn 0.2500 0.2500 0.2500 (multiplicity 4)  4 Sn 2.85, 4 Pu 2.85
3 Ni 0.2500 0.2500 0.7500 (multiplicity 4)  4 Pu 2.85, 4 Sn 2.85
4 Sn 0.0000 0.0000 0.5000 (multiplicity 4)  4 Mn 2.85, 4 Ni 2.85

Entry 3:
VASP calculation (PBE-GGA) on a relaxed Sm4Ru6O19 crystal.

Raw formation energy: -1.78 eV per atom
DFT total energy: -7.6021 eV/atom

a b c (Å): 9.0232 9.0232 9.0232
angles (deg): 90.00 90.00 90.00
Last column: nearest neighbours and their distance in Å.
Space group I23 (No. 197)
Symmetry-distinct sites (fractional):
1 Sm 0.1527 0.1527 0.1527 (multiplicity 8)  7 O 2.39-2.48
2 Ru 0.0000 0.1388 0.5000 (multiplicity 12)  6 O 1.95-2.04
3 O 0.0000 0.0000 0.0000 (multiplicity 2)  4 Sm 2.39
4 O 0.0000 0.0000 0.3222 (multiplicity 12)  2 Ru 2.04
5 O 0.0005 0.2833 0.3398 (multiplicity 24)  2 Ru 1.95-1.97

Entry 4:
VASP calculation (PBE-GGA) on a relaxed La2Pm3NdN6 crystal.

Raw formation energy: -1.38 eV per atom
DFT total energy: -7.9458 eV/atom

a b c (Å): 15.9936 3.6646 7.3393
angles (deg): 90.00 103.34 90.00
Last column: nearest neighbours and their distance in Å.
Space group C2/m (No. 12)
Symmetry-distinct sites (fractional):
1 La 0.1661 0.0000 0.3315 (multiplicity 4)  6 N 2.60-2.64
2 Pm 0.0000 0.5000 0.5000 (multiplicity 2)  6 N 2.56-2.59
3 Pm 0.1654 0.0000 0.8335 (multiplicity 4)  6 N 2.55-2.62
4 Nd 0.0000 0.5000 0.0000 (multiplicity 2)  6 N 2.59-2.60
5 N 0.0013 0.0000 0.7497 (multiplicity 4)  3 Pm 2.55-2.59, 2 Nd 2.60, 1 La 2.61
6 N 0.1642 0.5000 0.5884 (multiplicity 4)  3 Pm 2.56, 3 La 2.63-2.64
7 N 0.1661 0.5000 0.0799 (multiplicity 4)  3 Pm 2.57-2.62, 1 Nd 2.59, 2 La 2.60

Entry 5:
VASP calculation (PBE-GGA) on a relaxed La3HoIr8 crystal.

DFT total energy: -8.2562 eV/atom
Formation energy: -0.74 eV per atom

a b c (Å): 5.4447 5.4447 26.6480
angles (deg): 90.00 90.00 120.00
Last column: nearest neighbours and their distance in Å.
Space group R3m (No. 160, hexagonal axes)
Symmetry-distinct sites (fractional):
1 La 0.0000 0.0000 0.0000 (multiplicity 3)  12 Ir 3.19-3.22, 4 La 3.33-3.34
2 La 0.0000 0.0000 0.1249 (multiplicity 3)  12 Ir 3.16-3.19, 1 La 3.33, 3 Ho 3.33
3 La 0.0000 0.0000 0.6248 (multiplicity 3)  12 Ir 3.19-3.23, 1 Ho 3.33, 3 La 3.34
4 Ho 0.0000 0.0000 0.4998 (multiplicity 3)  12 Ir 3.15-3.19, 4 La 3.33
5 Ir 0.0000 0.0000 0.3125 (multiplicity 3)  6 Ir 2.75
6 Ir 0.0000 0.0000 0.8127 (multiplicity 3)  6 Ir 2.69-2.70
7 Ir 0.0015 0.5007 0.0638 (multiplicity 9)  6 Ir 2.70-2.75
8 Ir 0.1671 0.3342 0.8945 (multiplicity 9)  6 Ir 2.69-2.75

Entry 6:
VASP calculation (PBE-GGA) on a relaxed Er5Mg5Cd2 crystal.

DFT total energy: -2.7527 eV/atom
Formation energy: -0.03 eV per atom

a b c (Å): 9.0338 5.2053 14.0399
angles (deg): 90.00 102.26 90.00
Last column: nearest neighbours and their distance in Å.
Space group C2/m (No. 12)
Symmetry-distinct sites (fractional):
1 Er 0.0000 0.0000 0.0000 (multiplicity 2)  2 Cd 2.98, 6 Mg 3.19
2 Er 0.1050 0.5000 0.8168 (multiplicity 4)  3 Cd 3.04-3.05, 3 Mg 3.34
3 Er 0.1447 0.0000 0.4331 (multiplicity 4)  1 Cd 2.96, 3 Mg 3.14-3.15
4 Mg 0.0000 0.5000 0.5000 (multiplicity 2)  6 Er 3.14-3.15
5 Mg 0.1927 0.5000 0.0769 (multiplicity 4)  6 Er 3.19-3.34, 1 Mg 3.32, 2 Cd 3.57
6 Mg 0.2264 0.0000 0.6808 (multiplicity 4)  3 Cd 3.32, 1 Mg 3.32, 7 Er 3.39-3.55
7 Cd 0.0734 0.0000 0.2173 (multiplicity 4)  5 Er 2.96-3.05, 2 Mg 3.32

Look up the DFT total energy of the fifth one.
-8.2562 eV/atom